[1]
The following is a PBE-GGA calculation of an optimized crystal structure of Ho3Tm2Se8, from the Alexandria database.

Computed properties:
Fermi-level density of states ... 0.50 states/eV per atom
Formation energy (no corrections) ... -1.69 eV/atom
Electronic total energy ... -5.58 eV per atom

Unit cell a=6.934 b=8.129 c=8.172 alpha=119.83 beta=106.79 gamma=90.00
Fractional coordinates of all 13 atoms:
Se (0.585, 0.635, 0.751)
Se (0.902, 0.619, 0.238)
Ho (0.500, 0.000, 0.000)
Se (0.415, 0.884, 0.249)
Ho (0.000, 0.261, 0.000)
Tm (0.337, 0.257, 0.514)
Tm (0.663, 0.743, 0.486)
Se (0.076, 0.880, 0.761)
Ho (0.000, 0.739, 0.000)
Se (0.924, 0.120, 0.239)
Se (0.585, 0.116, 0.751)
Se (0.415, 0.365, 0.249)
Se (0.098, 0.381, 0.762)

[2]
The following is a PBE-GGA calculation of an optimized crystal structure of Si2Se, from the Alexandria database.

Computed properties:
Fermi-level density of states ... 0.73 states/eV per atom
Energy relative to the lowest polymorph listed for this composition ... 696 meV per atom
Formation energy (no corrections) ... 0.53 eV/atom
Electronic total energy ... -4.25 eV per atom

Unit cell a=2.748 b=2.748 c=25.481 alpha=90.00 beta=90.00 gamma=120.00
Fractional coordinates of all 9 atoms:
Se (0.667, 0.333, 0.178)
Si (0.333, 0.667, 0.624)
Si (0.000, 0.000, 0.047)
Se (0.333, 0.667, 0.822)
Si (0.000, 0.000, 0.953)
Si (0.667, 0.333, 0.376)
Si (0.667, 0.333, 0.278)
Se (0.000, 0.000, 0.500)
Si (0.333, 0.667, 0.722)

[3]
The following is a PBE-GGA calculation of an optimized crystal structure of ThNp2ReC4, from the Alexandria database.

Computed properties:
Fermi-level density of states ... 1.38 states/eV per atom
Formation energy ... 0.06 eV/atom
Electronic total energy ... -10.27 eV per atom

Unit cell a=3.583 b=6.108 c=11.781 alpha=90.00 beta=90.00 gamma=107.06
Site moments in Bohr magnetons follow the coordinates.
Fractional coordinates of all 16 atoms:
C (0.000, 0.000, 0.500)  -0.15
Re (0.851, 0.702, 0.750)  -0.03
C (0.000, 0.000, 0.000)  -0.15
Th (0.889, 0.777, 0.250)  -0.03
C (0.741, 0.483, 0.879)  -0.06
Np (0.372, 0.744, 0.958)  2.62
Re (0.149, 0.298, 0.250)  -0.03
C (0.259, 0.517, 0.379)  -0.06
Th (0.111, 0.223, 0.750)  -0.03
C (0.558, 0.115, 0.250)  -0.02
Np (0.372, 0.744, 0.542)  2.62
Np (0.628, 0.256, 0.458)  2.62
C (0.741, 0.483, 0.621)  -0.06
C (0.259, 0.517, 0.121)  -0.06
C (0.442, 0.885, 0.750)  -0.02
Np (0.628, 0.256, 0.042)  2.62

[4]
The following is a PBE-GGA calculation of an optimized crystal structure of Cd2SeO, from the Alexandria database.

Computed properties:
Fermi-level density of states ... 0.10 states/eV per atom
Energy relative to the lowest polymorph listed for this composition ... 0 meV per atom
Formation energy (no corrections) ... -0.77 eV/atom
Electronic total energy ... -3.34 eV per atom

Unit cell a=5.696 b=5.696 c=6.861 alpha=65.47 beta=65.47 gamma=90.00
Fractional coordinates of all 8 atoms:
Se (0.750, 0.250, 0.500)
Cd (0.190, 0.625, 0.250)
Cd (0.375, 0.440, 0.750)
Cd (0.875, 0.810, 0.750)
O (0.250, 0.750, 0.500)
Se (0.000, 0.000, 0.000)
Cd (0.560, 0.125, 0.250)
O (0.500, 0.500, 0.000)

[5]
The following is a PBE-GGA calculation of an optimized crystal structure of Ho2CuPd8, from the Alexandria database.

Computed properties:
Fermi-level density of states ... 0.26 states/eV per atom
Formation energy ... -0.53 eV/atom
Electronic total energy ... -5.51 eV per atom

Unit cell a=4.345 b=6.190 c=7.581 alpha=105.19 beta=106.65 gamma=90.00
Fractional coordinates of all 11 atoms:
Pd (0.593, 0.427, 0.187)
Pd (0.343, 0.103, 0.686)
Ho (0.209, 0.671, 0.419)
Pd (0.027, 0.737, 0.054)
Pd (0.152, 0.180, 0.305)
Cu (0.500, 0.000, 0.000)
Ho (0.791, 0.329, 0.581)
Pd (0.407, 0.573, 0.813)
Pd (0.848, 0.820, 0.695)
Pd (0.973, 0.263, 0.946)
Pd (0.657, 0.897, 0.314)

[6]
The following is a PBE-GGA calculation of an optimized crystal structure of BRu3Pb, from the Alexandria database.

Computed properties:
Fermi-level density of states ... 1.56 states/eV per atom
Energy relative to the lowest polymorph listed for this composition ... 2913 meV per atom
Formation energy ... 3.07 eV/atom
Electronic total energy ... -4.57 eV per atom

Unit cell a=5.025 b=5.025 c=5.025 alpha=90.00 beta=90.00 gamma=90.00
Site moments in Bohr magnetons follow the coordinates.
Fractional coordinates of all 5 atoms:
Ru (0.000, 0.000, 0.500)  1.95
Ru (0.500, 0.000, 0.000)  1.50
Pb (0.000, 0.000, 0.000)  -0.08
B (0.500, 0.500, 0.500)  -0.03
Ru (0.000, 0.500, 0.000)  1.72

[7]
The following is a PBE-GGA calculation of an optimized crystal structure of KMoPb2, from the Alexandria database.

Computed properties:
Fermi-level density of states ... 0.41 states/eV per atom
Energy relative to the lowest polymorph listed for this composition ... 456 meV per atom
Formation energy ... 0.81 eV/atom
Electronic total energy ... -4.02 eV per atom

Unit cell a=4.894 b=4.897 c=4.653 alpha=90.00 beta=90.00 gamma=90.00
Site moments in Bohr magnetons follow the coordinates.
Fractional coordinates of all 4 atoms:
Pb (0.000, 0.000, 0.000)  -0.08
Pb (0.500, 0.500, 0.000)  -0.08
Mo (0.000, 0.500, 0.500)  3.02
K (0.500, 0.000, 0.500)  0.01

[8]
The following is a PBE-GGA calculation of an optimized crystal structure of NdDyHo5Er2, from the Alexandria database.

Computed properties:
Fermi-level density of states ... 1.61 states/eV per atom
Formation energy ... 0.16 eV/atom
Electronic total energy ... -4.44 eV per atom

Unit cell a=5.581 b=10.256 c=10.510 alpha=90.00 beta=90.00 gamma=105.79
Fractional coordinates of all 18 atoms:
Er (0.111, 0.222, 0.735)
Ho (0.388, 0.776, 0.023)
Nd (0.584, 0.168, 0.951)
Ho (0.299, 0.597, 0.710)
Ho (0.018, 0.035, 0.025)
Ho (0.982, 0.965, 0.525)
Er (0.113, 0.227, 0.319)
Nd (0.416, 0.832, 0.451)
Ho (0.281, 0.562, 0.312)
Ho (0.478, 0.957, 0.737)
Dy (0.200, 0.399, 0.012)
Er (0.887, 0.773, 0.819)
Ho (0.701, 0.403, 0.210)
Ho (0.612, 0.224, 0.523)
Ho (0.719, 0.438, 0.812)
Er (0.889, 0.778, 0.235)
Dy (0.800, 0.601, 0.512)
Ho (0.522, 0.043, 0.237)

[9]
The following is a PBE-GGA calculation of an optimized crystal structure of Li5Fe, from the Alexandria database.

Computed properties:
Fermi-level density of states ... 0.73 states/eV per atom
Formation energy ... 0.17 eV/atom
Electronic total energy ... -2.83 eV per atom

Unit cell a=2.684 b=2.684 c=13.634 alpha=90.00 beta=90.00 gamma=90.00
Site moments in Bohr magnetons follow the coordinates.
Fractional coordinates of all 6 atoms:
Fe (0.500, 0.500, 0.000)  2.69
Li (0.500, 0.500, 0.678)  0.01
Li (0.000, 0.000, 0.856)  -0.05
Li (0.000, 0.000, 0.144)  -0.05
Li (0.000, 0.000, 0.500)  0.00
Li (0.500, 0.500, 0.322)  0.01

[10]
The following is a PBE-GGA calculation of an optimized crystal structure of CaTbCd17, from the Alexandria database.

Computed properties:
Fermi-level density of states ... 0.38 states/eV per atom
Formation energy ... -0.12 eV/atom
Electronic total energy ... -1.29 eV per atom

Unit cell a=7.700 b=7.700 c=7.700 alpha=81.93 beta=81.93 gamma=81.93
Fractional coordinates of all 19 atoms:
Cd (0.104, 0.104, 0.104)
Cd (0.001, 0.302, 0.695)
Cd (0.909, 0.909, 0.909)
Cd (0.345, 0.876, 0.345)
Cd (0.302, 0.001, 0.695)
Cd (0.622, 0.208, 0.622)
Cd (0.622, 0.622, 0.208)
Cd (0.978, 0.978, 0.524)
Cd (0.978, 0.524, 0.978)
Ca (0.666, 0.666, 0.666)
Cd (0.524, 0.978, 0.978)
Cd (0.001, 0.695, 0.302)
Cd (0.695, 0.302, 0.001)
Cd (0.345, 0.345, 0.876)
Cd (0.302, 0.695, 0.001)
Cd (0.695, 0.001, 0.302)
Cd (0.208, 0.622, 0.622)
Tb (0.326, 0.326, 0.326)
Cd (0.876, 0.345, 0.345)

[11]
The following is a PBE-GGA calculation of an optimized crystal structure of RbLaB3, from the Alexandria database.

Computed properties:
Fermi-level density of states ... 1.08 states/eV per atom
Energy relative to the lowest polymorph listed for this composition ... 556 meV per atom
Formation energy ... 2.46 eV/atom
Electronic total energy ... -2.73 eV per atom

Unit cell a=4.733 b=4.733 c=4.733 alpha=90.00 beta=90.00 gamma=90.00
Site moments in Bohr magnetons follow the coordinates.
Fractional coordinates of all 5 atoms:
La (0.500, 0.500, 0.500)  0.01
B (0.000, 0.500, 0.000)  0.03
B (0.500, 0.000, 0.000)  0.07
B (0.000, 0.000, 0.500)  0.01
Rb (0.000, 0.000, 0.000)  0.03

[12]
The following is a PBE-GGA calculation of an optimized crystal structure of PmSm2Y6Er2, from the Alexandria database.

Computed properties:
Fermi-level density of states ... 1.60 states/eV per atom
Formation energy ... 0.15 eV/atom
Electronic total energy ... -5.49 eV per atom

Unit cell a=6.656 b=6.656 c=12.077 alpha=101.63 beta=101.63 gamma=129.35
Fractional coordinates of all 11 atoms:
Sm (0.865, 0.135, 0.000)
Y (0.864, 0.556, 0.211)
Y (0.290, 0.290, 0.290)
Y (0.710, 0.710, 0.710)
Sm (0.135, 0.865, 0.000)
Y (0.136, 0.444, 0.789)
Y (0.444, 0.136, 0.789)
Er (0.703, 0.297, 0.500)
Pm (0.000, 0.000, 0.500)
Y (0.556, 0.864, 0.211)
Er (0.297, 0.703, 0.500)

[13]
The following is a PBE-GGA calculation of an optimized crystal structure of Sr3ZrAu, from the Alexandria database.

Computed properties:
Fermi-level density of states ... 1.19 states/eV per atom
Energy relative to the lowest polymorph listed for this composition ... 0 meV per atom
Formation energy ... 0.26 eV/atom
Electronic total energy ... -3.11 eV per atom

Unit cell a=5.971 b=5.971 c=5.971 alpha=90.00 beta=90.00 gamma=90.00
Site moments in Bohr magnetons follow the coordinates.
Fractional coordinates of all 5 atoms:
Sr (0.500, 0.000, 0.000)  0.02
Sr (0.000, 0.500, 0.000)  0.01
Zr (0.500, 0.500, 0.500)  1.43
Sr (0.000, 0.000, 0.500)  0.03
Au (0.000, 0.000, 0.000)  0.00

[14]
The following is a PBE-GGA calculation of an optimized crystal structure of Ba2CaPd4Pb3, from the Alexandria database.

Computed properties:
Fermi-level density of states ... 0.65 states/eV per atom
Formation energy ... -0.56 eV/atom
Electronic total energy ... -4.33 eV per atom

Unit cell a=4.856 b=4.856 c=11.553 alpha=90.00 beta=90.00 gamma=90.00
Fractional coordinates of all 10 atoms:
Pb (0.000, 0.000, 0.500)
Pd (0.500, 0.500, 0.000)
Ba (0.000, 0.500, 0.769)
Ca (0.500, 0.500, 0.500)
Pb (0.500, 0.000, 0.883)
Pb (0.000, 0.500, 0.117)
Pd (0.000, 0.000, 0.000)
Ba (0.500, 0.000, 0.231)
Pd (0.500, 0.000, 0.640)
Pd (0.000, 0.500, 0.360)

[15]
The following is a PBE-GGA calculation of an optimized crystal structure of CeSi3N5, from the Alexandria database.

Computed properties:
Fermi-level density of states ... 0.67 states/eV per atom
Formation energy (no corrections) ... -1.21 eV/atom
Electronic total energy ... -8.30 eV per atom

Unit cell a=4.813 b=7.880 c=11.323 alpha=90.00 beta=90.00 gamma=90.00
Site moments in Bohr magnetons follow the coordinates.
Fractional coordinates of all 36 atoms:
N (0.297, 0.150, 0.511)  0.00
Si (0.017, 0.207, 0.417)  0.00
N (0.330, 0.890, 0.332)  -0.01
Si (0.983, 0.707, 0.083)  0.00
N (0.670, 0.390, 0.168)  -0.01
N (0.816, 0.018, 0.407)  0.00
N (0.333, 0.706, 0.795)  -0.01
Si (0.483, 0.793, 0.917)  0.00
Ce (0.500, 0.058, 0.171)  0.96
Ce (0.000, 0.442, 0.829)  0.96
N (0.203, 0.850, 0.011)  0.00
Si (0.523, 0.467, 0.041)  0.00
Si (0.486, 0.662, 0.661)  0.00
N (0.830, 0.610, 0.668)  -0.01
N (0.453, 0.843, 0.580)  -0.01
Si (0.023, 0.033, 0.959)  0.00
N (0.547, 0.343, 0.920)  -0.01
Si (0.477, 0.967, 0.459)  0.00
N (0.667, 0.206, 0.705)  -0.01
Si (0.977, 0.533, 0.541)  0.00
N (0.170, 0.110, 0.832)  -0.01
Si (0.514, 0.162, 0.839)  0.00
N (0.797, 0.350, 0.489)  0.00
N (0.684, 0.982, 0.907)  0.00
Si (0.986, 0.838, 0.339)  0.00
N (0.047, 0.157, 0.080)  -0.01
N (0.833, 0.794, 0.205)  -0.01
Ce (0.000, 0.942, 0.671)  0.96
N (0.953, 0.657, 0.420)  -0.01
Ce (0.500, 0.558, 0.329)  0.96
Si (0.014, 0.338, 0.161)  0.00
N (0.167, 0.294, 0.295)  -0.01
N (0.184, 0.518, 0.093)  0.00
Si (0.517, 0.293, 0.583)  0.00
N (0.316, 0.482, 0.593)  0.00
N (0.703, 0.650, 0.989)  0.00

[16]
The following is a PBE-GGA calculation of an optimized crystal structure of LiCa2Te2, from the Alexandria database.

Computed properties:
Fermi-level density of states ... 0.42 states/eV per atom
Energy relative to the lowest polymorph listed for this composition ... 191 meV per atom
Formation energy (no corrections) ... -0.97 eV/atom
Electronic total energy ... -3.41 eV per atom

Unit cell a=8.649 b=8.649 c=4.048 alpha=90.00 beta=90.00 gamma=90.00
Site moments in Bohr magnetons follow the coordinates.
Fractional coordinates of all 10 atoms:
Li (0.500, 0.500, 0.000)  0.07
Te (0.161, 0.661, 0.500)  0.00
Te (0.661, 0.839, 0.500)  0.00
Te (0.839, 0.339, 0.500)  0.00
Ca (0.857, 0.643, 0.000)  0.05
Li (0.000, 0.000, 0.000)  0.07
Ca (0.643, 0.143, 0.000)  0.05
Ca (0.357, 0.857, 0.000)  0.05
Ca (0.143, 0.357, 0.000)  0.05
Te (0.339, 0.161, 0.500)  0.00

[17]
The following is a PBE-GGA calculation of an optimized crystal structure of InHgAs2Br, from the Alexandria database.

Computed properties:
Fermi-level density of states ... 0.69 states/eV per atom
Energy relative to the lowest polymorph listed for this composition ... 0 meV per atom
Formation energy (no corrections) ... 0.52 eV/atom
Electronic total energy ... -2.29 eV per atom

Unit cell a=5.403 b=5.403 c=5.627 alpha=90.00 beta=90.00 gamma=90.00
Site moments in Bohr magnetons follow the coordinates.
Fractional coordinates of all 5 atoms:
In (0.000, 0.000, 0.000)  0.00
Br (0.000, 0.000, 0.500)  0.11
As (0.500, 0.000, 0.000)  0.45
Hg (0.500, 0.500, 0.500)  0.07
As (0.000, 0.500, 0.000)  0.45

[18]
The following is a PBE-GGA calculation of an optimized crystal structure of LaAl2Co, from the Alexandria database.

Computed properties:
Fermi-level density of states ... 1.02 states/eV per atom
Formation energy ... 0.21 eV/atom
Electronic total energy ... -4.67 eV per atom

Unit cell a=5.623 b=5.623 c=2.988 alpha=90.00 beta=90.00 gamma=123.74
Site moments in Bohr magnetons follow the coordinates.
Fractional coordinates of all 4 atoms:
Al (0.000, 0.000, 0.000)  -0.01
Al (0.500, 0.500, 0.000)  -0.01
Co (0.500, 0.000, 0.500)  -0.80
La (0.000, 0.500, 0.500)  0.04

[19]
The following is a PBE-GGA calculation of an optimized crystal structure of BC2, from the Alexandria database.

Computed properties:
Fermi-level density of states ... 0.13 states/eV per atom
Energy relative to the lowest polymorph listed for this composition ... 66 meV per atom
Formation energy ... 0.31 eV/atom
Electronic total energy ... -8.07 eV per atom

Unit cell a=5.592 b=5.717 c=3.981 alpha=90.00 beta=90.00 gamma=143.29
Fractional coordinates of all 12 atoms:
C (0.333, 0.667, 0.000)
C (0.012, 0.020, 0.991)
C (0.673, 0.845, 0.777)
B (0.833, 0.667, 0.200)
C (0.333, 0.167, 0.768)
C (0.478, 0.987, 0.229)
C (0.993, 0.488, 0.777)
B (0.507, 0.510, 0.524)
C (0.655, 0.313, 0.991)
B (0.159, 0.823, 0.524)
B (0.833, 0.167, 0.491)
C (0.189, 0.347, 0.229)

[20]
The following is a PBE-GGA calculation of an optimized crystal structure of ScAl2ZnH, from the Alexandria database.

Computed properties:
Fermi-level density of states ... 0.18 states/eV per atom
Electronic total energy ... -3.91 eV per atom

Unit cell a=4.153 b=4.153 c=4.074 alpha=90.00 beta=90.00 gamma=90.00
Fractional coordinates of all 5 atoms:
Al (0.500, 0.000, 0.000)
Sc (0.000, 0.000, 0.500)
Zn (0.500, 0.500, 0.500)
H (0.000, 0.000, 0.000)
Al (0.000, 0.500, 0.000)